Entry 1:
A plane-wave DFT calculation with PBE was carried out for GdMg2Zn after structural relaxation.

```
GdMg2Zn
1.0
3.3196 0.0000 0.0000
0.0000 3.3196 0.0000
0.0000 0.0000 8.3085
Zn Gd Mg
1 1 2
Direct
0.5000 0.5000 0.0000 Zn
0.5000 0.5000 0.5000 Gd
0.0000 0.0000 0.7995 Mg
0.0000 0.0000 0.2005 Mg
```

Results
- ΔE_f (kJ/mol of atoms) = -9
- total DFT energy (no corrections) (eV per atom) = -4.730

=====

Entry 2:
A plane-wave DFT calculation with PBE was carried out for Pa2BIr2Rh4 after structural relaxation.

```
Pa2BIr2Rh4
1.0
5.8531 -0.0482 -0.0696
-2.8519 5.1115 0.0696
-2.8519 -1.7307 4.8101
Pa B Ir Rh
2 1 2 4
Direct
0.5000 0.7500 0.2500 Pa
0.5000 0.2500 0.7500 Pa
0.0000 0.0000 0.0000 B
0.0000 0.7449 0.7449 Ir
0.0000 0.2551 0.2551 Ir
0.0000 0.7440 0.2560 Rh
0.4879 0.7440 0.7440 Rh
0.0000 0.2560 0.7440 Rh
0.5121 0.2560 0.2560 Rh
```

Results
- ΔE_f (kJ/mol of atoms) = -87
- total DFT energy (no corrections) (eV per atom) = -8.995